Compound: TaZnSn2O
Source: Alexandria
Functional: PBE
Structure: optimized geometry

a = 4.9323 Å, b = 4.8956 Å, c = 4.9323 Å
α = 90.00°, β = 90.00°, γ = 90.00°
Sites, in units of the cell vectors:
Zn (0.0000, 0.0000, 0.0000)
Sn (0.5000, 0.0000, 0.0000)
Sn (0.0000, 0.0000, 0.5000)
O (0.5000, 0.5000, 0.5000)
Ta (0.0000, 0.5000, 0.0000)

Computed properties:
**Electronic total energy**: -19.50 eV for the cell shown
**Spin magnetization**: 0.0 μB/cell